(1)
Density functional theory data (GGA-PBE) for LiBiTeN2 after structural relaxation.

a = 4.3584 Å, b = 4.3584 Å, c = 5.1879 Å
α = 90.00°, β = 90.00°, γ = 90.00°
Last column: nearest neighbours and their distance in Å.
Space group P4/mmm (No. 123)
Asymmetric unit:
Li1 0.0000 0.0000 0.0000 x1  4 N 2.18
Bi1 0.5000 0.5000 0.5000 x1  4 Te 3.08, 8 N 3.39
Te1 0.0000 0.0000 0.5000 x1  2 Li 2.59
N1 0.0000 0.5000 0.0000 x2  2 Li 2.18

Values from the calculation:
- VASP energy: -18.28 eV per formula unit
- Crystal system: tetragonal
- Fermi-level density of states: 1.65 states/eV/f.u.
- ΔE_f (raw): 1.462 eV/atom

(2)
Density functional theory data (GGA-PBE) for SmMg9Hg2 after structural relaxation.

a = 12.0742 Å, b = 12.0742 Å, c = 7.6644 Å
α = 90.00°, β = 90.00°, γ = 90.00°
Last column: nearest neighbours and their distance in Å.
Space group I4_1/amd (No. 141, origin choice 2)
Asymmetric unit:
Sm1 0.0000 0.2500 0.3750 x4  18 Mg 3.65-3.93
Mg1 0.0000 0.2500 0.8750 x4  4 Hg 3.17, 8 Mg 3.20
Mg2 0.1214 0.0505 0.6771 x32  2 Hg 2.92-2.94, 6 Mg 2.93-3.20
Hg1 0.0000 0.0000 0.0000 x8  10 Mg 2.92-3.17

Values from the calculation:
- VASP energy: -21.21 eV per formula unit
- Crystal system: tetragonal
- Fermi-level density of states: 5.84 states/eV/f.u.
- Energy of formation from the pure elements: -12 kJ per mole of atoms

(3)
Density functional theory data (GGA-PBE) for ZnGa3Re after structural relaxation.

a = 4.6809 Å, b = 4.6809 Å, c = 4.6809 Å
α = 90.00°, β = 90.00°, γ = 90.00°
Last column: nearest neighbours and their distance in Å.
Space group Pm-3m (No. 221)
Asymmetric unit:
Zn1 0.0000 0.0000 0.0000 x1  6 Ga 2.34
Ga1 0.0000 0.0000 0.5000 x3  2 Zn 2.34
Re1 0.5000 0.5000 0.5000 x1  12 Ga 3.31

Values from the calculation:
- VASP energy: -16.75 eV per formula unit
- Crystal system: cubic
- Fermi-level density of states: 3.26 states/eV/f.u.
- Energy of formation from the pure elements: 117 kJ per mole of atoms

(4)
Density functional theory data (GGA-PBE) for KSiAu3 after structural relaxation.

a = 5.1233 Å, b = 9.3598 Å, c = 9.4997 Å
α = 90.00°, β = 90.00°, γ = 90.00°
Last column: nearest neighbours and their distance in Å.
Space group Aem2 (No. 39)
Asymmetric unit:
K1 0.0000 0.0000 0.0000 x4  12 Au 3.33-3.63, 2 Si 3.60
Si1 0.3332 0.2500 0.2742 x4  5 Au 2.41-2.59
Au1 0.1365 0.2500 0.7612 x4  1 Si 2.41
Au2 0.4928 0.2500 0.5187 x4  2 Si 2.46-2.59
Au3 0.5000 0.0000 0.2296 x4  2 Si 2.53

Values from the calculation:
- VASP energy: -17.79 eV per formula unit
- Crystal system: orthorhombic
- Fermi-level density of states: 0.73 states/eV/f.u.
- ΔE_f (raw): -0.287 eV/atom

(5)
Density functional theory data (GGA-PBE) for Y3P2H after structural relaxation.

a = 12.2902 Å, b = 5.5077 Å, c = 7.9410 Å
α = 90.00°, β = 108.82°, γ = 90.00°
Last column: nearest neighbours and their distance in Å.
Space group C2/c (No. 15)
Asymmetric unit:
Y1 0.0000 0.0146 0.2500 x4  1 H 2.55, 4 P 2.77
Y2 0.1723 0.5002 0.0864 x8  4 P 2.74-2.76, 2 H 2.82-2.83
P1 0.1658 0.0003 0.0828 x8  6 Y 2.74-2.77
H1 0.0000 0.4774 0.2500 x4  5 Y 2.55-2.83

Values from the calculation:
- VASP energy: -40.59 eV per formula unit
- Crystal system: monoclinic
- Fermi-level density of states: 2.59 states/eV/f.u.

(6)
Density functional theory data (GGA-PBE) for MnGePHCN after structural relaxation.

a = 3.1905 Å, b = 4.3525 Å, c = 5.7787 Å
α = 76.67°, β = 79.55°, γ = 77.12°
Last column: nearest neighbours and their distance in Å.
Space group P1 (No. 1)
Asymmetric unit:
Mn1 0.0000 0.0000 0.0000 x1  2 N 2.00-2.13, 1 C 2.03
Ge1 0.6398 0.5807 0.5710 x1  1 N 1.95, 1 C 1.96
P1 0.6006 0.5896 0.1687 x1  1 Ge 2.34, 2 Mn 2.35-2.48
H1 0.2207 0.1183 0.5177 x1  1 C 1.11
C1 0.3778 0.9862 0.6776 x1  1 H 1.11
N1 0.5431 0.1769 0.7842 x1  1 C 1.38

Values from the calculation:
- VASP energy: -38.04 eV per formula unit
- Crystal system: triclinic
- Fermi-level density of states: 2.05 states/eV/f.u.

(7)
Density functional theory data (GGA-PBE) for Tb6GeC2Se3 after structural relaxation.

a = 17.4969 Å, b = 3.8721 Å, c = 8.1443 Å
α = 90.00°, β = 104.99°, γ = 90.00°
Last column: nearest neighbours and their distance in Å.
Space group C2/m (No. 12)
Asymmetric unit:
Tb1 0.0179 0.0000 0.2583 x4  1 C 2.60, 2 Ge 2.82, 2 Se 2.84
Tb2 0.1694 0.5000 0.1229 x4  2 C 2.62, 1 Se 2.86, 1 Ge 2.87
Tb3 0.1788 0.5000 0.5591 x4  3 C 2.53-2.61
Ge1 0.0000 0.5000 0.0000 x2  6 Tb 2.82-2.87
C1 0.1716 0.0000 0.3415 x4  6 Tb 2.53-2.62
Se1 0.0000 0.5000 0.5000 x2  6 Tb 2.84-3.04
Se2 0.1628 0.0000 0.8309 x4  6 Tb 2.86-3.06

Values from the calculation:
- VASP energy: -75.61 eV per formula unit
- Crystal system: monoclinic
- Fermi-level density of states: 0.98 states/eV/f.u.
- ΔE_f (raw): -1.192 eV/atom

(8)
Density functional theory data (GGA-PBE) for DyP after structural relaxation.

a = 5.6657 Å, b = 5.6657 Å, c = 5.6657 Å
α = 90.00°, β = 90.00°, γ = 90.00°
Last column: nearest neighbours and their distance in Å.
Space group Fm-3m (No. 225)
Asymmetric unit:
Dy1 0.0000 0.0000 0.0000 x4  6 P 2.83
P1 0.0000 0.0000 0.5000 x4  6 Dy 2.83

Values from the calculation:
- VASP energy: -13.24 eV per formula unit
- Crystal system: cubic
- Fermi-level density of states: 0.29 states/eV/f.u.
- Energy of formation from the pure elements: -156 kJ per mole of atoms

(9)
Density functional theory data (GGA-PBE) for CeNd3N after structural relaxation.

a = 5.1406 Å, b = 5.1406 Å, c = 5.1406 Å
α = 90.00°, β = 90.00°, γ = 90.00°
Last column: nearest neighbours and their distance in Å.
Space group Pm-3m (No. 221)
Asymmetric unit:
Ce1 0.0000 0.0000 0.0000 x1  12 Nd 3.63
Nd1 0.0000 0.5000 0.5000 x3  2 N 2.57
N1 0.5000 0.5000 0.5000 x1  6 Nd 2.57

Values from the calculation:
- VASP energy: -30.24 eV per formula unit
- Crystal system: cubic
- Fermi-level density of states: 11.90 states/eV/f.u.
- ΔE_f (raw): -0.335 eV/atom

(10)
Density functional theory data (GGA-PBE) for CsVFe3 after structural relaxation.

a = 4.7893 Å, b = 4.7893 Å, c = 4.7893 Å
α = 90.00°, β = 90.00°, γ = 90.00°
Last column: nearest neighbours and their distance in Å.
Space group Pm-3m (No. 221)
Asymmetric unit:
Cs1 0.0000 0.0000 0.0000 x1  12 Fe 3.39
V1 0.5000 0.5000 0.5000 x1  6 Fe 2.39
Fe1 0.0000 0.5000 0.5000 x3  2 V 2.39

Values from the calculation:
- VASP energy: -28.45 eV per formula unit
- Crystal system: cubic
- Fermi-level density of states: 5.40 states/eV/f.u.
- Energy of formation from the pure elements: 133 kJ per mole of atoms

(11)
Density functional theory data (GGA-PBE) for BaMgRu after structural relaxation.

a = 3.6596 Å, b = 3.6596 Å, c = 7.1096 Å
α = 90.00°, β = 90.00°, γ = 120.00°
Last column: nearest neighbours and their distance in Å.
Space group P3m1 (No. 156)
Asymmetric unit:
Ba1 0.0000 0.0000 0.0000 x1  3 Ru 3.02
Mg1 0.3333 0.6667 0.4706 x1  3 Ru 2.66
Ru1 0.6667 0.3333 0.6968 x1  3 Mg 2.66

Values from the calculation:
- VASP energy: -10.97 eV per formula unit
- Crystal system: trigonal
- Fermi-level density of states: 2.58 states/eV/f.u.
- Energy of formation from the pure elements: 59 kJ per mole of atoms

(12)
Density functional theory data (GGA-PBE) for TiV5Tc4 after structural relaxation.

a = 3.0277 Å, b = 3.0277 Å, c = 15.3499 Å
α = 90.00°, β = 90.00°, γ = 90.00°
Last column: nearest neighbours and their distance in Å.
Space group P4/mmm (No. 123)
Asymmetric unit:
Ti1 0.0000 0.0000 0.0000 x1  8 V 2.71, 4 Ti 3.03
V1 0.5000 0.5000 0.1087 x2  4 Tc 2.59, 4 Ti 2.71
V2 0.5000 0.5000 0.3032 x2  8 Tc 2.62-2.63
V3 0.5000 0.5000 0.5000 x1  8 Tc 2.62
Tc1 0.0000 0.0000 0.2033 x2  8 V 2.59-2.63
Tc2 0.0000 0.0000 0.4016 x2  8 V 2.62

Values from the calculation:
- VASP energy: -98.14 eV per formula unit
- Crystal system: tetragonal
- Fermi-level density of states: 4.81 states/eV/f.u.
- Energy of formation from the pure elements: -31 kJ per mole of atoms

(13)
Density functional theory data (GGA-PBE) for Pm4Nd4Ho3 after structural relaxation.

a = 3.6619 Å, b = 9.5441 Å, c = 21.8430 Å
α = 90.00°, β = 90.00°, γ = 90.00°
Last column: nearest neighbours and their distance in Å.
Space group Immm (No. 71)
Asymmetric unit:
Pm1 0.0000 0.0000 0.2384 x4  2 Ho 3.41, 6 Nd 3.58-3.73, 2 Pm 3.66
Pm2 0.0000 0.1851 0.0000 x4  2 Nd 3.40, 6 Ho 3.45-3.52, 3 Pm 3.53-3.66
Nd1 0.0000 0.3246 0.1431 x8  3 Nd 3.35-3.66, 4 Pm 3.40-3.73, 2 Ho 3.69
Ho1 0.0000 0.0000 0.5000 x2  4 Pm 3.52, 2 Ho 3.66
Ho2 0.0000 0.5000 0.3934 x4  6 Pm 3.41-3.45, 2 Ho 3.66, 4 Nd 3.69

Values from the calculation:
- VASP energy: -50.46 eV per formula unit
- Crystal system: orthorhombic
- Fermi-level density of states: 17.46 states/eV/f.u.
- Energy of formation from the pure elements: 12 kJ per mole of atoms

(14)
Density functional theory data (GGA-PBE) for BeAg2Au3 after structural relaxation.

a = 4.2680 Å, b = 12.9709 Å, c = 7.1906 Å
α = 90.00°, β = 90.00°, γ = 90.00°
Last column: nearest neighbours and their distance in Å.
Space group Cmmm (No. 65)
Asymmetric unit:
Be1 0.0000 0.1573 0.0000 x4  8 Au 2.61-2.65
Ag1 0.0000 0.1680 0.5000 x4  8 Au 2.89-3.00, 4 Ag 3.01-3.05
Ag2 0.0000 0.5000 0.0000 x2  8 Au 2.73-2.75, 4 Be 2.95
Ag3 0.0000 0.5000 0.5000 x2  8 Au 2.86-3.12, 4 Ag 3.05
Au1 0.0000 0.0000 0.2359 x4  2 Be 2.65, 6 Ag 2.73-2.89
Au2 0.0000 0.3220 0.2075 x8  3 Be 2.61-2.62, 2 Ag 2.75-2.90, 2 Au 2.84

Values from the calculation:
- VASP energy: -19.39 eV per formula unit
- Crystal system: orthorhombic
- Fermi-level density of states: 1.48 states/eV/f.u.
- Energy of formation from the pure elements: -2 kJ per mole of atoms

(15)
Density functional theory data (GGA-PBE) for Ca2HoGa4 after structural relaxation.

a = 3.9865 Å, b = 4.3154 Å, c = 19.1197 Å
α = 90.00°, β = 90.00°, γ = 90.00°
Last column: nearest neighbours and their distance in Å.
Space group Immm (No. 71)
Asymmetric unit:
Ca1 0.0000 0.0000 0.1878 x4  7 Ga 3.09-3.34
Ho1 0.0000 0.5000 0.0000 x2  12 Ga 3.19-3.30
Ga1 0.0000 0.0000 0.3623 x4  2 Ga 2.57
Ga2 0.0000 0.5000 0.4354 x4  3 Ga 2.47-2.57

Values from the calculation:
- VASP energy: -24.41 eV per formula unit
- Crystal system: orthorhombic
- Fermi-level density of states: 3.76 states/eV/f.u.
- Energy of formation from the pure elements: -51 kJ per mole of atoms

(16)
Density functional theory data (GGA-PBE) for Tb2Pm6YHo3 after structural relaxation.

a = 6.2465 Å, b = 10.8162 Å, c = 11.8488 Å
α = 90.00°, β = 100.08°, γ = 90.00°
Last column: nearest neighbours and their distance in Å.
Space group C2/m (No. 12)
Asymmetric unit:
Tb1 0.0000 0.1666 0.0000 x4  6 Pm 3.59-3.60, 3 Tb 3.60-3.61, 3 Y 3.61
Pm1 0.2488 0.1670 0.7489 x8  3 Ho 3.57-3.58, 2 Tb 3.59, 1 Y 3.60, 6 Pm 3.60-3.61
Pm2 0.2503 0.0000 0.2514 x4  3 Ho 3.57, 1 Y 3.60, 2 Tb 3.60, 6 Pm 3.60-3.61
Y1 0.0000 0.5000 0.0000 x2  6 Pm 3.60, 6 Tb 3.61
Ho1 0.0000 0.0000 0.5000 x2  6 Pm 3.57, 6 Ho 3.60-3.61
Ho2 0.0000 0.3333 0.5000 x4  6 Pm 3.57-3.58, 6 Ho 3.60-3.61

Values from the calculation:
- VASP energy: -57.82 eV per formula unit
- Crystal system: monoclinic
- Fermi-level density of states: 14.19 states/eV/f.u.
- Energy of formation from the pure elements: 1 kJ per mole of atoms

(17)
Density functional theory data (GGA-PBE) for TlGeSe2 after structural relaxation.

a = 4.5474 Å, b = 4.5474 Å, c = 24.9350 Å
α = 90.00°, β = 90.00°, γ = 120.00°
Last column: nearest neighbours and their distance in Å.
Space group R-3m (No. 166, hexagonal axes)
Asymmetric unit:
Tl1 0.0000 0.0000 0.0000 x3  6 Se 3.20
Ge1 0.0000 0.0000 0.5000 x3  2 Se 2.32
Se1 0.0000 0.0000 0.4069 x6  1 Ge 2.32

Values from the calculation:
- VASP energy: -13.28 eV per formula unit
- Crystal system: trigonal
- Fermi-level density of states: 2.86 states/eV/f.u.
- ΔE_f (raw): 0.168 eV/atom

(18)
Density functional theory data (GGA-PBE) for La6HPt2 after structural relaxation.

a = 6.7596 Å, b = 7.3397 Å, c = 12.2761 Å
α = 90.00°, β = 122.58°, γ = 90.00°
Last column: nearest neighbours and their distance in Å.
Space group P2_1/c (No. 14)
Asymmetric unit:
La1 0.1054 0.0298 0.2538 x4  1 H 2.76, 2 Pt 2.96-3.08
La2 0.2284 0.6711 0.0624 x4  1 H 2.66
La3 0.3909 0.1758 0.0631 x4  1 H 2.72, 2 Pt 2.96-3.01
H1 0.5000 0.0000 0.5000 x2  6 La 2.66-2.76
Pt1 0.3282 0.1220 0.7557 x4  6 La 2.96-3.08

Values from the calculation:
- VASP energy: -50.90 eV per formula unit
- Crystal system: monoclinic
- Fermi-level density of states: 8.94 states/eV/f.u.

(19)
Density functional theory data (GGA-PBE) for GaBiTe after structural relaxation.

a = 13.2945 Å, b = 4.3930 Å, c = 7.5371 Å
α = 90.00°, β = 118.42°, γ = 90.00°
Last column: nearest neighbours and their distance in Å.
Space group Cm (No. 8)
Asymmetric unit:
Ga1 0.0000 0.0000 0.0000 x2  3 Bi 2.78-2.90, 1 Te 3.01
Ga2 0.2470 0.0000 0.7136 x2  1 Bi 2.75, 3 Te 2.75-2.77
Bi1 0.4228 0.5000 0.3002 x2  1 Ga 2.90, 2 Te 3.09
Bi2 0.4629 0.0000 0.7507 x2  3 Ga 2.75-2.78
Te1 0.1402 0.5000 0.4728 x2  2 Ga 2.77
Te2 0.2435 0.0000 0.0759 x2  2 Ga 2.75-3.01

Values from the calculation:
- VASP energy: -10.29 eV per formula unit
- Crystal system: monoclinic
- Fermi-level density of states: 0.27 states/eV/f.u.
- ΔE_f (raw): -0.080 eV/atom

(20)
Density functional theory data (GGA-PBE) for Ta2CoW2 after structural relaxation.

a = 6.3244 Å, b = 6.3244 Å, c = 4.2388 Å
α = 90.00°, β = 90.00°, γ = 90.00°
Last column: nearest neighbours and their distance in Å.
Space group P4/mbm (No. 127)
Asymmetric unit:
Ta1 0.1767 0.3233 0.0000 x4  6 W 2.67-2.93
Co1 0.0000 0.0000 0.5000 x2  4 W 2.44
W1 0.1418 0.6418 0.5000 x4  2 Co 2.44, 1 W 2.54, 2 Ta 2.67

Values from the calculation:
- VASP energy: -54.24 eV per formula unit
- Crystal system: tetragonal
- Fermi-level density of states: 3.17 states/eV/f.u.
- Energy of formation from the pure elements: 48 kJ per mole of atoms